Entry 1:
Computed, not measured: crystalline Rb3ZrRu at its relaxed geometry at the GGA-PBEsol level of DFT.

abc: 6.5109 6.5109 6.5109
angles: 90.00 90.00 90.00
Fractional positions:
Rb 0.0000 0.0000 0.5000
Rb 0.0000 0.5000 0.0000
Rb 0.5000 0.0000 0.0000
Zr 0.0000 0.0000 0.0000
Ru 0.5000 0.5000 0.5000

Values from the calculation:
ΔE_f = 2278 meV per atom
Fermi-level density of states = 2.66 states/eV/atom

---

Entry 2:
Computed, not measured: crystalline KBaSi2 at its relaxed geometry at the GGA-PBEsol level of DFT.

abc: 3.9574 6.5680 6.5680
angles: 45.14 90.00 90.00
Fractional positions:
K 0.0000 0.0000 0.0000
Ba 0.5000 0.7108 0.7108
Si 0.0000 0.2996 0.2996
Si 0.5000 0.4120 0.4120

Values from the calculation:
Fermi-level density of states = 0.56 states/eV/atom
uncorrected energy = -3.892 eV/atom

---

Entry 3:
Computed, not measured: crystalline SrOs2Br2 at its relaxed geometry at the GGA-PBEsol level of DFT.

abc: 6.2505 6.2505 6.2505
angles: 137.69 137.69 61.38
Fractional positions:
Sr 0.0000 0.0000 0.0000
Os 0.3961 0.3961 0.0000
Os 0.6039 0.6039 0.0000
Br 0.2500 0.7500 0.5000
Br 0.7500 0.2500 0.5000

Values from the calculation:
Fermi-level density of states = 0.87 states/eV/atom
uncorrected energy = -5.492 eV/atom

---

Entry 4:
Computed, not measured: crystalline Ca2AlIn at its relaxed geometry at the GGA-PBEsol level of DFT.

abc: 5.2789 5.2789 3.7280
angles: 90.00 90.00 90.00
Fractional positions:
Ca 0.0000 0.5000 0.0000
Ca 0.5000 0.0000 0.0000
Al 0.0000 0.0000 0.5000
In 0.5000 0.5000 0.5000

Values from the calculation:
ΔE_f = -346 meV per atom
ΔE to the lowest computed polymorph = 0.001 eV per atom
Fermi-level density of states = 0.52 states/eV/atom

---

Entry 5:
Computed, not measured: crystalline Pr2Ta3Se2O8 at its relaxed geometry at the GGA-PBEsol level of DFT.

abc: 9.8973 11.8163 7.6084
angles: 90.00 90.00 90.00
Fractional positions:
Pr 0.2105 0.1565 0.0000
Pr 0.2277 0.1486 0.5000
Pr 0.2723 0.6486 0.0000
Pr 0.2895 0.6565 0.5000
Pr 0.7105 0.3435 0.5000
Pr 0.7277 0.3514 0.0000
Pr 0.7723 0.8514 0.5000
Pr 0.7895 0.8435 0.0000
Ta 0.0000 0.5000 0.2856
Ta 0.0000 0.5000 0.7144
Ta 0.1354 0.9164 0.2497
Ta 0.1354 0.9164 0.7503
Ta 0.3646 0.4164 0.2503
Ta 0.3646 0.4164 0.7497
Ta 0.5000 0.0000 0.2144
Ta 0.5000 0.0000 0.7856
Ta 0.6354 0.5836 0.2503
Ta 0.6354 0.5836 0.7497
Ta 0.8646 0.0836 0.2497
Ta 0.8646 0.0836 0.7503
Se 0.0194 0.3351 0.5000
Se 0.0243 0.3616 0.0000
Se 0.4757 0.8616 0.5000
Se 0.4806 0.8351 0.0000
Se 0.5194 0.1649 0.0000
Se 0.5243 0.1384 0.5000
Se 0.9757 0.6384 0.0000
Se 0.9806 0.6649 0.5000
O 0.0576 0.1025 0.2548
O 0.0576 0.1025 0.7452
O 0.1345 0.9494 0.0000
O 0.1504 0.9507 0.5000
O 0.1974 0.5244 0.2648
O 0.1974 0.5244 0.7352
O 0.2132 0.7743 0.2476
O 0.2132 0.7743 0.7524
O 0.2868 0.2743 0.2524
O 0.2868 0.2743 0.7476
O 0.3026 0.0244 0.2352
O 0.3026 0.0244 0.7648
O 0.3496 0.4507 0.0000
O 0.3655 0.4494 0.5000
O 0.4424 0.6025 0.2452
O 0.4424 0.6025 0.7548
O 0.5576 0.3975 0.2452
O 0.5576 0.3975 0.7548
O 0.6345 0.5506 0.5000
O 0.6504 0.5493 0.0000
O 0.6974 0.9756 0.2352
O 0.6974 0.9756 0.7648
O 0.7132 0.7257 0.2524
O 0.7132 0.7257 0.7476
O 0.7868 0.2257 0.2476
O 0.7868 0.2257 0.7524
O 0.8026 0.4756 0.2648
O 0.8026 0.4756 0.7352
O 0.8496 0.0493 0.5000
O 0.8655 0.0506 0.0000
O 0.9424 0.8975 0.2548
O 0.9424 0.8975 0.7452

Values from the calculation:
uncorrected energy = -9.260 eV/atom

---

Entry 6:
Computed, not measured: crystalline BiRuBr2 at its relaxed geometry at the GGA-PBEsol level of DFT.

abc: 4.9425 4.9425 4.9425
angles: 60.00 60.00 60.00
Fractional positions:
Bi 0.0000 0.0000 0.0000
Ru 0.5000 0.5000 0.5000
Br 0.2500 0.2500 0.2500
Br 0.7500 0.7500 0.7500

Values from the calculation:
ΔE to the lowest computed polymorph = 0.193 eV per atom
Fermi-level density of states = 0.78 states/eV/atom